This record from Alexandria describes KCoPdF6 after structural relaxation. The functional is PBE+U.

Computed properties:
- energy (eV per atom) = -4.408
- space-group type = No. 5
- density (Mg/m³) = 3.5

Lattice parameters (Å, degrees): 5.5882 5.5868 5.5768 90.13 90.06 60.00
Last column: magnetic moment on the atom in μB.
Fractional coordinates of all 9 atoms:
1 F 0.9662 0.3881 0.3082  0.18
2 F 0.9663 0.6456 0.6918  0.18
3 F 0.6424 0.3886 0.6997  0.18
4 F 0.3894 0.6483 0.3060  0.20
5 F 0.6424 0.9691 0.3003  0.18
6 F 0.3895 0.9623 0.6939  0.20
7 Pd 0.3375 0.3313 0.5000  1.50
8 Co 0.6666 0.6667 0.5000  3.23
9 K 0.9995 0.0002 0.0000  0.00